Material: BiPtPb5
Method: DFT, PBE-GGA
State: relaxed

Lattice parameters (Å, degrees): 8.267 4.580 11.625 90.00 102.15 90.00
Space group P2_1/m (No. 11)
One atom of each set of equivalent atoms:
Bi 0.010 0.250 0.217 x2
Pt 0.427 0.250 0.651 x2
Pb 0.081 0.250 0.608 x2
Pb 0.174 0.750 0.058 x2
Pb 0.333 0.750 0.489 x2
Pb 0.344 0.250 0.890 x2
Pb 0.420 0.250 0.229 x2

Calculated values
The calculation puts the total energy at -57.573 eV per cell. The crystal system is monoclinic. For the calculated volume, the calculation gives 30.7 Å³/atom.